(1)
Entry from Alexandria via LeMat-Bulk: a crystal of Sc2PAu relaxed with PBEsol (SCAN).

## Properties
calculated formation energy: -107 kJ per mole of atoms
total DFT energy (no corrections): -1.0333 Ha/atom
space group: P4/mmm, No. 123
magnetic moment: 0.00 μB per formula unit

Unit cell a=3.8173 b=3.8173 c=5.4215 alpha=90.00 beta=90.00 gamma=90.00
With the nearest neighbours (Å) after each atom.
Fractional positions:
Au1 0.0000 0.0000 0.0000  6 Sc 2.70-2.71
P1 0.5000 0.5000 0.5000  6 Sc 2.70-2.71
Sc1 0.0000 0.0000 0.5000  4 P 2.70, 2 Au 2.71
Sc2 0.5000 0.5000 0.0000  4 Au 2.70, 2 P 2.71


(2)
Entry from Alexandria via LeMat-Bulk: a crystal of Sc2PAu relaxed with PBEsol (SCAN).

## Properties
calculated formation energy: -19 kJ per mole of atoms
total DFT energy (no corrections): -0.9997 Ha/atom
space group: F-43m, No. 216
magnetic moment: 0.00 μB per formula unit

Unit cell a=4.6498 b=4.6498 c=4.6498 alpha=60.00 beta=60.00 gamma=60.00
With the nearest neighbours (Å) after each atom.
Fractional positions:
Au1 0.5000 0.5000 0.5000  4 P 2.85, 4 Sc 2.85
P1 0.7500 0.7500 0.7500  4 Sc 2.85, 4 Au 2.85
Sc1 0.0000 0.0000 0.0000  4 Sc 2.85, 4 P 2.85
Sc2 0.2500 0.2500 0.2500  4 Sc 2.85, 4 Au 2.85